This record from Alexandria via LeMat-Bulk describes a relaxed structure of CaAl2Au. The functional is PBE.

Calculated values
- formation energy (eV per formula unit) = -1.88

Geometry as CIF:
```
data_CaAl2Au
_chemical_formula_sum 'Ca2 Al4 Au2'
_symmetry_space_group_name_H-M 'C 1 m 1'
_symmetry_Int_Tables_number 8
_cell_length_a 7.584
_cell_length_b 4.377
_cell_length_c 6.007
_cell_angle_alpha 90.00
_cell_angle_beta 114.69
_cell_angle_gamma 90.00
loop_
_symmetry_equiv_pos_as_xyz
'x,y,z'
'x,-y,z'
'x+1/2,y+1/2,z'
'x+1/2,-y+1/2,z'
loop_
_atom_site_label
_atom_site_type_symbol
_atom_site_fract_x
_atom_site_fract_y
_atom_site_fract_z
Ca1 Ca 0.000 0.000 0.000
Al1 Al 0.206 0.000 0.619
Al2 Al 0.455 0.000 0.366
Au1 Au 0.310 0.500 0.430
```

This record from Alexandria via LeMat-Bulk describes a relaxed structure of Ca3Al4Au4. The functional is PBE.

Calculated values
- polymorph energy (0 for the lowest one) (meV/atom) = 63.2
- formation energy (eV per formula unit) = -6.87

Geometry as CIF:
```
data_Ca3Al4Au4
_chemical_formula_sum 'Ca6 Al8 Au8'
_symmetry_space_group_name_H-M 'I -4 3 m'
_symmetry_Int_Tables_number 217
_symmetry_space_group_name_Hall 'I -4 2 3'
_cell_length_a 7.909
_cell_length_b 7.909
_cell_length_c 7.909
_cell_angle_alpha 90.00
_cell_angle_beta 90.00
_cell_angle_gamma 90.00
loop_
_atom_site_label
_atom_site_type_symbol
_atom_site_fract_x
_atom_site_fract_y
_atom_site_fract_z
Ca1 Ca 0.000 0.000 0.500
Al1 Al 0.129 0.129 0.129
Au1 Au 0.191 0.191 0.809
```

What did we get for mass density? Answer: 5.334, 6.821 g/cm3, in the order shown.
What did we get for total moment? Answer: 0.00, 0.00 μB per formula unit, in the order shown.
What did we get for total DFT energy (no corrections)? Answer: -3.66, -3.72 eV per atom, in the order shown.